1.
Entry from the Alexandria database: a relaxed structure of Ce4InGe5 (PBE-GGA).

Computed properties:
Energy relative to the elements = -0.64 eV/atom
Crystal system = orthorhombic

Unit cell a=11.0400 b=11.0797 c=4.0044 alpha=90.00 beta=90.00 gamma=90.00
Closest atoms and distances in Å follow each position.
Space group Pmmn (No. 59, origin choice 2)
Asymmetric unit:
Ce1 0.0544 0.2500 0.2501 [4 per cell]  6 Ge 2.94-3.13
Ce2 0.2500 0.5076 0.7499 [4 per cell]  5 Ge 2.85-3.06
In1 0.2500 0.7500 0.2493 [2 per cell]  4 Ge 3.11, 4 Ce 3.35
Ge1 0.0460 0.5569 0.2500 [8 per cell]  2 Ge 2.57
Ge2 0.2500 0.2500 0.7502 [2 per cell]  6 Ce 2.85-2.95



2.
Entry from the Alexandria database: a relaxed structure of YHo4Al (PBE-GGA).

Computed properties:
Energy above the lowest structure with this stoichiometry = 0.0623 eV per atom
Energy relative to the elements = -0.06 eV/atom
Crystal system = monoclinic

Unit cell a=10.3193 b=5.9635 c=11.5728 alpha=90.00 beta=107.50 gamma=90.00
Closest atoms and distances in Å follow each position.
Space group C2/c (No. 15)
Asymmetric unit:
Y1 0.2500 0.2500 0.0000 [4 per cell]  2 Al 3.39, 10 Ho 3.39-3.54
Ho1 0.0785 0.2365 0.4996 [8 per cell]  7 Ho 3.25-3.54, 2 Al 3.36, 3 Y 3.39-3.54
Ho2 0.1665 0.4184 0.2501 [8 per cell]  2 Y 3.39-3.41, 7 Ho 3.39-3.45, 3 Al 3.42-3.46
Al1 0.0000 0.0853 0.7500 [4 per cell]  10 Ho 3.36-3.46, 2 Y 3.39



3.
Entry from the Alexandria database: a relaxed structure of MnOsSe (PBE-GGA).

Computed properties:
Energy above the lowest structure with this stoichiometry = 0.2771 eV per atom
Raw formation energy = 532 meV per atom
Crystal system = orthorhombic

Unit cell a=3.7329 b=4.5499 c=5.5133 alpha=90.00 beta=90.00 gamma=90.00
Closest atoms and distances in Å follow each position.
Space group Imm2 (No. 44)
Asymmetric unit:
Mn1 0.0000 0.0000 0.0000 [2 per cell]  4 Os 2.37-2.62, 4 Se 2.41-2.59
Os1 0.0000 0.5000 0.2340 [2 per cell]  4 Mn 2.37-2.62, 1 Se 2.52
Se1 0.0000 0.5000 0.7768 [2 per cell]  4 Mn 2.41-2.59, 1 Os 2.52



4.
Entry from the Alexandria database: a relaxed structure of KAlGeAu3 (PBE-GGA).

Computed properties:
Energy relative to the elements = -0.24 eV/atom
Crystal system = orthorhombic

Unit cell a=6.8130 b=13.0797 c=7.0755 alpha=90.00 beta=90.00 gamma=90.00
Closest atoms and distances in Å follow each position.
Space group Cmcm (No. 63)
Asymmetric unit:
K1 0.0000 0.2432 0.2500 [4 per cell]  4 Au 3.41-3.56, 1 Ge 3.82
Al1 0.0000 0.0818 0.7500 [4 per cell]  5 Au 2.48-2.56
Ge1 0.0000 0.4649 0.7500 [4 per cell]  5 Au 2.53-2.64
Au1 0.0000 0.2715 0.7500 [4 per cell]  1 Al 2.48, 1 Ge 2.53
Au2 0.2213 0.0000 0.0000 [8 per cell]  2 Al 2.56, 2 Ge 2.64



5.
Entry from the Alexandria database: a relaxed structure of LaTa3Cr (PBE-GGA).

Computed properties:
Energy above the lowest structure with this stoichiometry = 0.0000 eV per atom
Energy relative to the elements = 0.73 eV/atom
Crystal system = cubic

Unit cell a=4.7844 b=4.7844 c=4.7844 alpha=90.00 beta=90.00 gamma=90.00
Closest atoms and distances in Å follow each position.
Space group Pm-3m (No. 221)
Asymmetric unit:
La1 0.0000 0.0000 0.0000 [1 per cell]  12 Ta 3.38
Ta1 0.0000 0.5000 0.5000 [3 per cell]  2 Cr 2.39
Cr1 0.5000 0.5000 0.5000 [1 per cell]  6 Ta 2.39



6.
Entry from the Alexandria database: a relaxed structure of Tl6CdPb (PBE-GGA).

Computed properties:
Energy above the lowest structure with this stoichiometry = 0.0167 eV per atom
Energy relative to the elements = 0.04 eV/atom
Crystal system = trigonal

Unit cell a=11.3100 b=11.3100 c=6.6327 alpha=90.00 beta=90.00 gamma=120.00
Closest atoms and distances in Å follow each position.
Space group R-3m (No. 166, hexagonal axes)
Asymmetric unit:
Tl1 0.0087 0.5043 0.2547 [18 per cell]  1 Cd 3.23, 6 Tl 3.26-3.51, 1 Pb 3.39
Cd1 0.0000 0.0000 0.5000 [3 per cell]  6 Tl 3.23, 2 Pb 3.32
Pb1 0.0000 0.0000 0.0000 [3 per cell]  2 Cd 3.32, 6 Tl 3.39



7.
Entry from the Alexandria database: a relaxed structure of SrCaMo2 (PBE-GGA).

Computed properties:
Energy above the lowest structure with this stoichiometry = 0.5906 eV per atom
Energy relative to the elements = 1.05 eV/atom
Crystal system = monoclinic

Unit cell a=5.7472 b=10.6162 c=2.8698 alpha=90.00 beta=91.57 gamma=90.00
Closest atoms and distances in Å follow each position.
Space group C2/m (No. 12)
Asymmetric unit:
Sr1 0.0000 0.0000 0.0000 [2 per cell]  2 Sr 2.87, 2 Ca 2.87
Ca1 0.0000 0.5000 0.0000 [2 per cell]  2 Ca 2.87, 2 Sr 2.87
Mo1 0.2500 0.2500 0.5000 [4 per cell]  4 Mo 2.87



8.
Entry from the Alexandria database: a relaxed structure of Sr2HgBr (PBE-GGA).

Computed properties:
Energy above the lowest structure with this stoichiometry = 0.0199 eV per atom
Raw formation energy = -978 meV per atom
Crystal system = monoclinic

Unit cell a=4.1369 b=3.9634 c=8.8506 alpha=90.00 beta=90.07 gamma=90.00
Closest atoms and distances in Å follow each position.
Space group P2/m (No. 10)
Asymmetric unit:
Sr1 0.9999 0.0000 0.2181 [2 per cell]  2 Br 3.19, 4 Hg 3.45-3.46
Hg1 0.5000 0.5000 0.0000 [1 per cell]  8 Sr 3.45-3.46
Br1 0.0000 0.5000 0.5000 [1 per cell]  4 Sr 3.19



9.
Entry from the Alexandria database: a relaxed structure of ReNiHg2 (PBE-GGA).

Computed properties:
Energy above the lowest structure with this stoichiometry = 0.0000 eV per atom
Energy relative to the elements = 0.43 eV/atom
Crystal system = tetragonal

Unit cell a=2.8470 b=2.8470 c=8.5956 alpha=90.00 beta=90.00 gamma=90.00
Closest atoms and distances in Å follow each position.
Space group P4mm (No. 99)
Asymmetric unit:
Re1 0.0000 0.0000 0.0000 [1 per cell]  4 Ni 2.54
Ni1 0.5000 0.5000 0.8202 [1 per cell]  4 Re 2.54
Hg1 0.0000 0.0000 0.5838 [1 per cell]  4 Hg 2.85, 4 Ni 2.86
Hg2 0.5000 0.5000 0.2637 [1 per cell]  4 Hg 2.85, 4 Re 3.03



10.
Entry from the Alexandria database: a relaxed structure of Hf2Ti3Sn2 (PBE-GGA).

Computed properties:
Energy above the lowest structure with this stoichiometry = 0.0632 eV per atom
Energy relative to the elements = 0.11 eV/atom
Crystal system = cubic

Unit cell a=8.3917 b=8.3917 c=8.3917 alpha=90.00 beta=90.00 gamma=90.00
Closest atoms and distances in Å follow each position.
Space group I2_13 (No. 199)
Asymmetric unit:
Hf1 0.0745 0.4255 0.5745 [8 per cell]  3 Ti 2.83, 1 Sn 2.84
Ti1 0.0000 0.2500 0.9820 [12 per cell]  2 Hf 2.83, 4 Sn 2.84-2.89, 4 Ti 3.08
Sn1 0.2300 0.2300 0.2300 [8 per cell]  1 Hf 2.84, 6 Ti 2.84-2.89



11.
Entry from the Alexandria database: a relaxed structure of Li2TeCl (PBE-GGA).

Computed properties:
Energy above the lowest structure with this stoichiometry = 0.0135 eV per atom
Raw formation energy = -1198 meV per atom
Crystal system = orthorhombic

Unit cell a=3.4324 b=3.5400 c=7.3063 alpha=90.00 beta=90.00 gamma=90.00
Closest atoms and distances in Å follow each position.
Space group Pmm2 (No. 25)
Asymmetric unit:
Li1 0.0000 0.0000 0.0000 [1 per cell]  4 Cl 2.54
Li2 0.5000 0.5000 0.4064 [1 per cell]  1 Cl 2.34
Te1 0.0000 0.0000 0.6080 [1 per cell]  5 Li 2.86-2.87
Cl1 0.5000 0.5000 0.0859 [1 per cell]  5 Li 2.34-2.54



12.
Entry from the Alexandria database: a relaxed structure of CaSbAu (PBE-GGA).

Computed properties:
Raw formation energy = -757 meV per atom
Crystal system = trigonal

Unit cell a=4.6155 b=4.6155 c=4.3357 alpha=90.00 beta=90.00 gamma=120.00
Closest atoms and distances in Å follow each position.
Space group P3m1 (No. 156)
Asymmetric unit:
Ca1 0.0000 0.0000 0.0000 [1 per cell]  6 Au 3.26-3.62, 6 Sb 3.38-3.49
Sb1 0.6667 0.3333 0.4787 [1 per cell]  3 Au 2.69
Au1 0.3333 0.6667 0.5654 [1 per cell]  3 Sb 2.69



no.,DOS(E_F) (states/eV/cell),M_tot (μB/cell)
1,39.5,4.5
2,31.3,0.0
3,5.1,0.0
4,4.1,0.0
5,6.8,0.0
6,9.5,0.0
7,6.1,0.0
8,3.1,0.3
9,3.6,0.0
10,50.8,0.0
11,0.7,0.0
12,1.3,0.0